[1]
## ScNiIr2 (SCAN)

Data for a crystal of ScNiIr2 relaxed with PBEsol.

Summary:
Crystal system: cubic
Density in kg/m3: 14026
Total energy in eV per formula unit: -173.616
DFT formation energy in meV/atom: -252

Geometry as CIF:
```
data_ScNiIr2
_chemical_formula_sum 'Sc4 Ni4 Ir8'
_space_group_name_H-M_alt 'F -4 3 m'
_space_group_IT_number 216
_space_group_name_Hall 'F -4 2 3'
_cell_length_a 6.137
_cell_length_b 6.137
_cell_length_c 6.137
_cell_angle_alpha 90.00
_cell_angle_beta 90.00
_cell_angle_gamma 90.00
loop_
_atom_site_label
_atom_site_fract_x
_atom_site_fract_y
_atom_site_fract_z
Sc1 0.000 0.000 0.000
Ni1 0.250 0.250 0.250
Ir1 0.000 0.000 0.500
Ir2 0.250 0.250 0.750
```

=====

[2]
## ScNiIr (SCAN)

Data for a crystal of ScNiIr relaxed with PBEsol.

Summary:
Crystal system: tetragonal
Density in kg/m3: 11295
Total energy in eV per formula unit: -102.789
DFT formation energy in meV/atom: -426

Geometry as CIF:
```
data_ScNiIr
_chemical_formula_sum 'Sc2 Ni2 Ir2'
_space_group_name_H-M_alt 'I 4 m m'
_space_group_IT_number 107
_space_group_name_Hall 'I 4 -2'
_cell_length_a 3.120
_cell_length_b 3.120
_cell_length_c 8.935
_cell_angle_alpha 90.00
_cell_angle_beta 90.00
_cell_angle_gamma 90.00
loop_
_atom_site_label
_atom_site_fract_x
_atom_site_fract_y
_atom_site_fract_z
Sc1 0.000 0.000 0.000
Ni1 0.000 0.000 0.332
Ir1 0.000 0.000 0.675
```

=====

[3]
## ScNiIr3 (SCAN)

Data for a crystal of ScNiIr3 relaxed with PBEsol.

Summary:
Crystal system: cubic
Density in kg/m3: 13082
Total energy in eV per formula unit: -240.063
DFT formation energy in meV/atom: 729

Geometry as CIF:
```
data_ScNiIr3
_chemical_formula_sum 'Sc1 Ni1 Ir3'
_space_group_name_H-M_alt 'P m -3 m'
_space_group_IT_number 221
_space_group_name_Hall '-P 4 2 3'
_cell_length_a 4.420
_cell_length_b 4.420
_cell_length_c 4.420
_cell_angle_alpha 90.00
_cell_angle_beta 90.00
_cell_angle_gamma 90.00
loop_
_atom_site_label
_atom_site_fract_x
_atom_site_fract_y
_atom_site_fract_z
Sc1 0.000 0.000 0.000
Ni1 0.500 0.500 0.500
Ir1 0.000 0.500 0.500
```

=====

[4]
## ScNiIr2 (SCAN)

Data for a crystal of ScNiIr2 relaxed with PBEsol.

Summary:
Crystal system: monoclinic
Density in kg/m3: 14018
Total energy in eV per formula unit: -174.320
DFT formation energy in meV/atom: -428

Geometry as CIF:
```
data_ScNiIr2
_chemical_formula_sum 'Sc1 Ni1 Ir2'
_space_group_name_H-M_alt 'P 1 2/m 1'
_space_group_IT_number 10
_space_group_name_Hall '-P 2y'
_cell_length_a 2.769
_cell_length_b 4.251
_cell_length_c 5.072
_cell_angle_alpha 90.00
_cell_angle_beta 104.47
_cell_angle_gamma 90.00
loop_
_atom_site_label
_atom_site_fract_x
_atom_site_fract_y
_atom_site_fract_z
Sc1 0.000 0.000 0.000
Ni1 0.500 0.000 0.500
Ir1 0.358 0.500 0.728
```

=====

[5]
## ScNiIr (SCAN)

Data for a crystal of ScNiIr relaxed with PBEsol.

Summary:
Crystal system: orthorhombic
Density in kg/m3: 11222
Total energy in eV per formula unit: -102.756
DFT formation energy in meV/atom: -416

Geometry as CIF:
```
data_ScNiIr
_chemical_formula_sum 'Sc2 Ni2 Ir2'
_space_group_name_H-M_alt 'I m m 2'
_space_group_IT_number 44
_space_group_name_Hall 'I 2 -2'
_cell_length_a 2.822
_cell_length_b 3.676
_cell_length_c 8.439
_cell_angle_alpha 90.00
_cell_angle_beta 90.00
_cell_angle_gamma 90.00
loop_
_atom_site_label
_atom_site_fract_x
_atom_site_fract_y
_atom_site_fract_z
Sc1 0.000 0.000 0.000
Ni1 0.000 0.000 0.315
Ir1 0.000 0.000 0.678
```

=====

[6]
## ScNi4Ir (SCAN)

Data for a crystal of ScNi4Ir relaxed with PBEsol.

Summary:
Crystal system: cubic
Density in kg/m3: 10695
Total energy in eV per formula unit: -152.018
DFT formation energy in meV/atom: -331

Geometry as CIF:
```
data_ScNi4Ir
_chemical_formula_sum 'Sc4 Ni16 Ir4'
_space_group_name_H-M_alt 'F -4 3 m'
_space_group_IT_number 216
_space_group_name_Hall 'F -4 2 3'
_cell_length_a 6.643
_cell_length_b 6.643
_cell_length_c 6.643
_cell_angle_alpha 90.00
_cell_angle_beta 90.00
_cell_angle_gamma 90.00
loop_
_atom_site_label
_atom_site_fract_x
_atom_site_fract_y
_atom_site_fract_z
Sc1 0.000 0.000 0.000
Ni1 0.124 0.124 0.624
Ir1 0.250 0.250 0.250
```

=====

[7]
## ScNiIr2 (SCAN)

Data for a crystal of ScNiIr2 relaxed with PBEsol.

Summary:
Crystal system: monoclinic
Density in kg/m3: 14178
Total energy in eV per formula unit: -174.378
DFT formation energy in meV/atom: -442

Geometry as CIF:
```
data_ScNiIr2
_chemical_formula_sum 'Sc2 Ni2 Ir4'
_space_group_name_H-M_alt 'C 1 m 1'
_space_group_IT_number 8
_space_group_name_Hall 'C -2y'
_cell_length_a 9.053
_cell_length_b 2.828
_cell_length_c 4.567
_cell_angle_alpha 90.00
_cell_angle_beta 102.13
_cell_angle_gamma 90.00
loop_
_atom_site_label
_atom_site_fract_x
_atom_site_fract_y
_atom_site_fract_z
Sc1 0.000 0.000 0.000
Ni1 0.256 0.500 0.230
Ir1 0.241 0.000 0.692
Ir2 0.496 0.000 0.496
```

=====

[8]
## Ni2IrSe (SCAN)

Data for a crystal of Ni2IrSe relaxed with PBEsol.

Summary:
Crystal system: orthorhombic
Density in kg/m3: 12632
Total energy in eV per formula unit: -122.210
ΔE_f (raw) in meV per atom: 328

Geometry as CIF:
```
data_Ni2IrSe
_chemical_formula_sum 'Ni4 Ir2 Se2'
_space_group_name_H-M_alt 'I m m m'
_space_group_IT_number 71
_space_group_name_Hall '-I 2 2'
_cell_length_a 2.896
_cell_length_b 4.290
_cell_length_c 8.222
_cell_angle_alpha 90.00
_cell_angle_beta 90.00
_cell_angle_gamma 90.00
loop_
_atom_site_label
_atom_site_fract_x
_atom_site_fract_y
_atom_site_fract_z
Ni1 0.000 0.000 0.226
Ir1 0.000 0.500 0.000
Se1 0.000 0.500 0.500
```

=====

[9]
## Ni2IrSe (SCAN)

Data for a crystal of Ni2IrSe relaxed with PBEsol.

Summary:
Crystal system: orthorhombic
Density in kg/m3: 12648
Total energy in eV per formula unit: -122.596
ΔE_f (raw) in meV per atom: 232

Geometry as CIF:
```
data_Ni2IrSe
_chemical_formula_sum 'Ni2 Ir1 Se1'
_space_group_name_H-M_alt 'P m m 2'
_space_group_IT_number 25
_space_group_name_Hall 'P 2 -2'
_cell_length_a 2.880
_cell_length_b 4.072
_cell_length_c 4.349
_cell_angle_alpha 90.00
_cell_angle_beta 90.00
_cell_angle_gamma 90.00
loop_
_atom_site_label
_atom_site_fract_x
_atom_site_fract_y
_atom_site_fract_z
Ni1 0.000 0.000 0.000
Ni2 0.000 0.500 0.318
Ir1 0.500 0.000 0.492
Se1 0.500 0.500 0.844
```

=====

[10]
## Ni2IrSe (SCAN)

Data for a crystal of Ni2IrSe relaxed with PBEsol.

Summary:
Crystal system: tetragonal
Density in kg/m3: 12717
Total energy in eV per formula unit: -122.447
ΔE_f (raw) in meV per atom: 269

Geometry as CIF:
```
data_Ni2IrSe
_chemical_formula_sum 'Ni2 Ir1 Se1'
_space_group_name_H-M_alt 'P 4 m m'
_space_group_IT_number 99
_space_group_name_Hall 'P 4 -2'
_cell_length_a 3.074
_cell_length_b 3.074
_cell_length_c 5.370
_cell_angle_alpha 90.00
_cell_angle_beta 90.00
_cell_angle_gamma 90.00
loop_
_atom_site_label
_atom_site_fract_x
_atom_site_fract_y
_atom_site_fract_z
Ni1 0.000 0.000 0.000
Ni2 0.500 0.500 0.223
Ir1 0.500 0.500 0.746
Se1 0.000 0.000 0.443
```

=====

[11]
## Ni2IrSe (SCAN)

Data for a crystal of Ni2IrSe relaxed with PBEsol.

Summary:
Crystal system: orthorhombic
Density in kg/m3: 11932
Total energy in eV per formula unit: -121.498
ΔE_f (raw) in meV per atom: 507

Geometry as CIF:
```
data_Ni2IrSe
_chemical_formula_sum 'Ni4 Ir2 Se2'
_space_group_name_H-M_alt 'C m m 2'
_space_group_IT_number 35
_space_group_name_Hall 'C 2 -2'
_cell_length_a 2.705
_cell_length_b 4.573
_cell_length_c 8.742
_cell_angle_alpha 90.00
_cell_angle_beta 90.00
_cell_angle_gamma 90.00
loop_
_atom_site_label
_atom_site_fract_x
_atom_site_fract_y
_atom_site_fract_z
Ni1 0.000 0.000 0.000
Ni2 0.000 0.500 0.225
Ir1 0.000 0.500 0.762
Se1 0.000 0.000 0.455
```

=====

[12]
## NiIr4Se (SCAN)

Data for a crystal of NiIr4Se relaxed with PBEsol.

Summary:
Crystal system: cubic
Density in kg/m3: 15947
Total energy in eV per formula unit: -315.298
ΔE_f (raw) in meV per atom: 892

Geometry as CIF:
```
data_NiIr4Se
_chemical_formula_sum 'Ni4 Ir16 Se4'
_space_group_name_H-M_alt 'F -4 3 m'
_space_group_IT_number 216
_space_group_name_Hall 'F -4 2 3'
_cell_length_a 7.228
_cell_length_b 7.228
_cell_length_c 7.228
_cell_angle_alpha 90.00
_cell_angle_beta 90.00
_cell_angle_gamma 90.00
loop_
_atom_site_label
_atom_site_fract_x
_atom_site_fract_y
_atom_site_fract_z
Ni1 0.000 0.000 0.000
Ir1 0.125 0.125 0.375
Se1 0.250 0.250 0.750
```

=====

[13]
## SiNiIr (SCAN)

Data for a crystal of SiNiIr relaxed with PBEsol.

Summary:
Crystal system: cubic
Density in kg/m3: 11551
Total energy in eV per formula unit: -99.172
ΔE_f (raw) in meV per atom: -628

Geometry as CIF:
```
data_SiNiIr
_chemical_formula_sum 'Si4 Ni4 Ir4'
_space_group_name_H-M_alt 'F -4 3 m'
_space_group_IT_number 216
_space_group_name_Hall 'F -4 2 3'
_cell_length_a 5.434
_cell_length_b 5.434
_cell_length_c 5.434
_cell_angle_alpha 90.00
_cell_angle_beta 90.00
_cell_angle_gamma 90.00
loop_
_atom_site_label
_atom_site_fract_x
_atom_site_fract_y
_atom_site_fract_z
Si1 0.000 0.000 0.000
Ni1 0.250 0.250 0.250
Ir1 0.250 0.250 0.750
```

=====

[14]
## SiNiIr (SCAN)

Data for a crystal of SiNiIr relaxed with PBEsol.

Summary:
Crystal system: tetragonal
Density in kg/m3: 12871
Total energy in eV per formula unit: -98.743
ΔE_f (raw) in meV per atom: -485

Geometry as CIF:
```
data_SiNiIr
_chemical_formula_sum 'Si2 Ni2 Ir2'
_space_group_name_H-M_alt 'I 4 m m'
_space_group_IT_number 107
_space_group_name_Hall 'I 4 -2'
_cell_length_a 2.838
_cell_length_b 2.838
_cell_length_c 8.937
_cell_angle_alpha 90.00
_cell_angle_beta 90.00
_cell_angle_gamma 90.00
loop_
_atom_site_label
_atom_site_fract_x
_atom_site_fract_y
_atom_site_fract_z
Si1 0.000 0.000 0.000
Ni1 0.000 0.000 0.362
Ir1 0.000 0.000 0.660
```

=====

[15]
## Si4NiIr (SCAN)

Data for a crystal of Si4NiIr relaxed with PBEsol.

Summary:
Crystal system: cubic
Density in kg/m3: 7679
Total energy in eV per formula unit: -123.745
ΔE_f (raw) in meV per atom: 598

Geometry as CIF:
```
data_Si4NiIr
_chemical_formula_sum 'Si16 Ni4 Ir4'
_space_group_name_H-M_alt 'F -4 3 m'
_space_group_IT_number 216
_space_group_name_Hall 'F -4 2 3'
_cell_length_a 6.798
_cell_length_b 6.798
_cell_length_c 6.798
_cell_angle_alpha 90.00
_cell_angle_beta 90.00
_cell_angle_gamma 90.00
loop_
_atom_site_label
_atom_site_fract_x
_atom_site_fract_y
_atom_site_fract_z
Si1 0.125 0.125 0.125
Ni1 0.000 0.000 0.500
Ir1 0.250 0.250 0.750
```

=====

no.,total magnetic moment (μB per formula unit)
1,1.18
2,0.76
3,3.15
4,0.43
5,0.00
6,2.28
7,0.00
8,0.00
9,0.00
10,0.73
11,1.46
12,1.38
13,0.00
14,0.00
15,0.00